Material: ThZnTc
Method: DFT, PBE
State: relaxed

Geometry as extended XYZ:
```
3
Lattice="-1.778 1.778 4.837 1.778 -1.778 4.837 1.778 1.778 -4.837" Properties=species:S:1:pos:R:3 pbc="T T T"
Th 0.000 0.000 0.000
Zn 0.000 0.000 6.756
Tc 0.000 0.000 2.862
```

Results
- Excess energy over the best structure of this formula in the dataset: 229.1 meV/atom
- N(E_F): 0.91 states/eV per atom
- Space-group type: I4mm (107)
- E_form: 0.115 eV per formula unit